First-principles (GGA-PBE) data for an optimized crystal structure of PrPb2, as listed in the Open Quantum Materials Database.

```
12
Lattice="-2.3771 2.3771 16.0868 2.3771 -2.3771 16.0868 2.3771 2.3771 -16.0868" Properties=species:S:1:pos:R:3 pbc="T T T"
Pr 2.3771 1.1885 1.6289
Pr 2.3771 1.1885 6.4145
Pr 0.0000 1.1885 9.6723
Pr 0.0000 1.1885 14.4579
Pb 2.3771 -1.1885 9.1986
Pb 2.3771 1.1885 -4.0271
Pb 2.3771 -1.1885 14.9317
Pb 0.0000 1.1885 4.0163
Pb 2.3771 1.1885 12.0705
Pb 0.0000 3.5656 1.1552
Pb 0.0000 1.1885 20.1139
Pb 0.0000 3.5656 6.8882
```

total DFT energy (no corrections)	-4.54	eV per atom
SG	I4_1/amd, No. 141
volume	30.299	Å³/atom
spin magnetization	0.00	μB per atom


First-principles (GGA-PBE) data for an optimized crystal structure of LaMgAgTe2Se, as listed in the Open Quantum Materials Database.

```
12
Lattice="2.1056 -7.0039 0.0000 2.1056 7.0039 0.0000 0.0000 0.0000 11.3747" Properties=species:S:1:pos:R:3 pbc="T T T"
La 0.0000 0.0000 0.0000
La 0.0000 0.0000 5.6874
Mg 2.1056 3.4577 8.5310
Mg 2.1056 -3.4577 2.8437
Ag 2.1056 0.2407 2.8437
Ag 2.1056 -0.2407 8.5310
Te 2.1056 2.2278 0.8965
Te 2.1056 2.2278 4.7908
Te 2.1056 -2.2278 6.5839
Te 2.1056 -2.2278 10.4782
Se 2.1056 5.5267 2.8437
Se 2.1056 -5.5267 8.5310
```

total DFT energy (no corrections)	-4.10	eV per atom
SG	Cmcm, No. 63
volume	27.958	Å³/atom
spin magnetization	0.00	μB per atom


First-principles (GGA-PBE) data for an optimized crystal structure of TbGd2Sn6Pb, as listed in the Open Quantum Materials Database.

```
10
Lattice="2.2663 -12.8665 0.0000 2.2663 12.8665 0.0000 0.0000 0.0000 4.5903" Properties=species:S:1:pos:R:3 pbc="T T T"
Tb 0.0000 0.0000 0.0000
Gd 2.2663 8.0348 0.0000
Gd 2.2663 -8.0348 0.0000
Sn 2.2663 10.3417 2.2952
Sn 2.2663 5.3949 2.2952
Sn 2.2663 2.4990 0.0000
Sn 2.2663 -2.4990 0.0000
Sn 2.2663 -5.3949 2.2952
Sn 2.2663 -10.3417 2.2952
Pb 2.2663 0.0000 2.2952
```

total DFT energy (no corrections)	-4.69	eV per atom
SG	Cmmm, No. 65
volume	26.770	Å³/atom
spin magnetization	0.00	μB per atom


First-principles (GGA-PBE) data for an optimized crystal structure of BaCoB, as listed in the Open Quantum Materials Database.

```
3
Lattice="0.0000 3.1337 3.1337 3.1337 0.0000 3.1337 3.1337 3.1337 0.0000" Properties=species:S:1:pos:R:3 pbc="T T T"
Ba 0.0000 0.0000 0.0000
Co 4.7006 4.7006 4.7006
B 3.1337 3.1337 3.1337
```

SG	F-43m, No. 216
volume	20.516	Å³/atom
ΔE to the lowest computed polymorph	43	meV per atom
spin magnetization	0.00	μB per atom


- What is the spin magnetization in the second record?
  0.00 μB per atom


- Look up the spin magnetization of the first one.
  0.00 μB per atom


- spin magnetization of number 3 (TbGd2Sn6Pb)?
  0.00 μB per atom